# 1
Pm4Pr8Cd, optimized geometry, DFT PBE-GGA; E_tot = -4.116 eV/atom; total moment = 0.00 μB/cell; space-group type = R-3m (166)
1.0
5.8936 3.4026 3.9242
-5.8936 3.4026 3.9242
0.0000 -6.8053 3.9242
Pm Pr Cd
4 8 1
Direct
0.0000 0.0000 0.0000 Pm
0.0000 0.5000 0.5000 Pm
0.5000 0.0000 0.5000 Pm
0.5000 0.5000 0.0000 Pm
0.1684 0.1684 0.6658 Pr
0.1684 0.6658 0.1684 Pr
0.2430 0.2430 0.2430 Pr
0.3342 0.8316 0.8316 Pr
0.6658 0.1684 0.1684 Pr
0.7570 0.7570 0.7570 Pr
0.8316 0.3342 0.8316 Pr
0.8316 0.8316 0.3342 Pr
0.5000 0.5000 0.5000 Cd

# 2
Sc3Cu4Si4, optimized geometry, DFT PBE-GGA; E_tot = -5.731 eV/atom; total moment = 0.00 μB/cell; space-group type = C2/m (12)
1.0
12.0873 -1.9711 0.0000
12.0873 1.9711 0.0000
-0.5528 0.0000 3.6253
Sc Cu Si
3 4 4
Direct
0.0000 0.0000 0.0000 Sc
0.3526 0.3526 0.8522 Sc
0.6474 0.6474 0.1478 Sc
0.0949 0.0949 0.5951 Cu
0.2530 0.2530 0.2527 Cu
0.7470 0.7470 0.7473 Cu
0.9051 0.9051 0.4049 Cu
0.1899 0.1899 0.6905 Si
0.4516 0.4516 0.4508 Si
0.5484 0.5484 0.5492 Si
0.8101 0.8101 0.3095 Si

no.,calculated volume (Å³/cell)
1,472
2,173